This record from Alexandria describes a geometry-optimized GaNi2O4 structure. The functional is PBE+U.

abc: 8.317 8.317 8.317
angles: 90.00 90.00 90.00
Space group Fd-3m (No. 227, origin choice 2)
Symmetry-distinct sites (fractional):
1 Ga 0.125 0.125 0.125 (multiplicity 8)
2 Ni 0.000 0.000 0.500 (multiplicity 16)
3 O 0.006 0.006 0.744 (multiplicity 32)

As for the total energy: -0.388 Ry per atom.